Material: NbSb2IF
Method: DFT, PBE
State: optimized geometry

Lattice parameters (Å, degrees): 5.3415 5.3415 5.4469 90.00 90.00 90.00
With the nearest neighbours (Å) after each atom.
Sites, in units of the cell vectors:
Nb (0.0000, 0.0000, 0.0000)  4 Sb 2.67, 2 I 2.72
Sb (0.0000, 0.5000, 0.0000)  2 Nb 2.67
Sb (0.5000, 0.0000, 0.0000)  2 Nb 2.67
I (0.0000, 0.0000, 0.5000)  2 Nb 2.72
F (0.5000, 0.5000, 0.5000)  4 I 3.78, 8 Sb 3.81

Formation energy from raw total energies (kJ/mol of formula units): 2
Excess energy over the best structure of this formula in the dataset (meV per atom): 0
E_tot (eV per atom): -4.342
Fermi-level density of states (states/eV per cell): 5.3
Space-group type: No. 123

Material: NbSbI2F
Method: DFT, PBE
State: optimized geometry

Lattice parameters (Å, degrees): 5.6975 5.6975 4.2295 90.00 90.00 90.00
With the nearest neighbours (Å) after each atom.
Sites, in units of the cell vectors:
Nb (0.0000, 0.0000, 0.0000)  8 I 3.55
Sb (0.5000, 0.5000, 0.0000)  2 F 2.11
I (0.0000, 0.5000, 0.5000)  2 F 2.85
I (0.5000, 0.0000, 0.5000)  2 F 2.85
F (0.5000, 0.5000, 0.5000)  2 Sb 2.11

Formation energy from raw total energies (kJ/mol of formula units): 138
Excess energy over the best structure of this formula in the dataset (meV per atom): 335
E_tot (eV per atom): -3.547
Fermi-level density of states (states/eV per cell): 2.7
Space-group type: No. 123

Material: NbTe2IF
Method: DFT, PBE
State: optimized geometry

Lattice parameters (Å, degrees): 5.3456 5.3456 5.5307 90.00 90.00 90.00
With the nearest neighbours (Å) after each atom.
Sites, in units of the cell vectors:
Nb (0.0000, 0.0000, 0.0000)  4 Te 2.67, 2 I 2.77
Te (0.0000, 0.5000, 0.0000)  2 Nb 2.67
Te (0.5000, 0.0000, 0.0000)  2 Nb 2.67
I (0.0000, 0.0000, 0.5000)  2 Nb 2.77
F (0.5000, 0.5000, 0.5000)  4 I 3.78, 8 Te 3.85

Formation energy from raw total energies (kJ/mol of formula units): -62
Excess energy over the best structure of this formula in the dataset (meV per atom): 0
E_tot (eV per atom): -4.084
Fermi-level density of states (states/eV per cell): 7.2
Space-group type: No. 123

Material: NbTe2IF
Method: DFT, PBE
State: optimized geometry

Lattice parameters (Å, degrees): 4.6906 4.6906 5.9400 90.00 90.00 90.00
With the nearest neighbours (Å) after each atom.
Sites, in units of the cell vectors:
Nb (0.0000, 0.0000, 0.0000)  4 I 3.32
Te (0.0000, 0.5000, 0.5000)  2 F 2.35
Te (0.5000, 0.0000, 0.5000)  2 F 2.35
I (0.5000, 0.5000, 0.0000)  2 F 2.97, 4 Nb 3.32
F (0.5000, 0.5000, 0.5000)  4 Te 2.35

Formation energy from raw total energies (kJ/mol of formula units): 177
Excess energy over the best structure of this formula in the dataset (meV per atom): 496
E_tot (eV per atom): -3.588
Fermi-level density of states (states/eV per cell): 3.1
Space-group type: No. 123

Material: TiNbIF2
Method: DFT, PBE
State: optimized geometry

Lattice parameters (Å, degrees): 4.1607 4.1607 5.3378 90.00 90.00 90.00
With the nearest neighbours (Å) after each atom.
Sites, in units of the cell vectors:
Ti (0.0000, 0.0000, 0.0000)  2 Nb 2.67, 4 I 2.94
Nb (0.0000, 0.0000, 0.5000)  4 F 2.08
I (0.5000, 0.5000, 0.0000)  4 Ti 2.94
F (0.0000, 0.5000, 0.5000)  2 Nb 2.08
F (0.5000, 0.0000, 0.5000)  2 Nb 2.08

Formation energy from raw total energies (kJ/mol of formula units): -573
Excess energy over the best structure of this formula in the dataset (meV per atom): 0
E_tot (eV per atom): -5.840
Fermi-level density of states (states/eV per cell): 3.8
Space-group type: No. 123

Material: TiNbIF2
Method: DFT, PBE
State: optimized geometry

Lattice parameters (Å, degrees): 4.2194 4.2194 6.2382 90.00 90.00 90.00
With the nearest neighbours (Å) after each atom.
Sites, in units of the cell vectors:
Ti (0.0000, 0.0000, 0.0000)  4 I 2.98
Nb (0.5000, 0.5000, 0.5000)  4 F 2.11
I (0.5000, 0.5000, 0.0000)  4 Ti 2.98, 2 Nb 3.12
F (0.0000, 0.5000, 0.5000)  2 Nb 2.11
F (0.5000, 0.0000, 0.5000)  2 Nb 2.11

Formation energy from raw total energies (kJ/mol of formula units): -382
Excess energy over the best structure of this formula in the dataset (meV per atom): 396
E_tot (eV per atom): -5.444
Fermi-level density of states (states/eV per cell): 6.0
Space-group type: No. 123

What is the formula in the first record?
NbSb2IF

Number 3 is which compound?
NbTe2IF